A relaxed structure of Ac2SmCd2, computed with PBE-GGA.

- E: -15.479 eV for the cell shown
- Distance to the lowest polymorph of the same formula: 21 meV per atom
- Crystal system: orthorhombic
- Space group: Immm

abc: 4.136 7.051 7.051
angles: 66.19 72.94 72.94
Fractional positions:
1 Ac 0.216 0.284 0.284
2 Ac 0.784 0.716 0.716
3 Sm 0.000 0.000 0.000
4 Cd 0.500 0.306 0.694
5 Cd 0.500 0.694 0.306

=====

A relaxed structure of AcSmCd6, computed with PBE-GGA.

- E: -16.464 eV for the cell shown
- Distance to the lowest polymorph of the same formula: 3 meV per atom
- Crystal system: orthorhombic
- Space group: Pmm2

abc: 5.279 5.280 7.400
angles: 90.00 90.00 90.00
Fractional positions:
1 Ac 0.000 0.750 0.000
2 Sm 0.500 0.251 0.500
3 Cd 0.500 0.751 0.266
4 Cd 0.000 0.249 0.734
5 Cd 0.000 0.249 0.266
6 Cd 0.500 0.751 0.734
7 Cd 0.000 0.750 0.500
8 Cd 0.500 0.250 0.000

=====

A relaxed structure of Ac6SmCd, computed with PBE-GGA.

- E: -30.327 eV for the cell shown
- Crystal system: tetragonal
- Space group: I4/mmm

abc: 5.501 5.501 11.337
angles: 75.96 75.96 90.00
Fractional positions:
1 Ac 0.750 0.750 0.500
2 Ac 0.616 0.116 0.768
3 Ac 0.116 0.616 0.768
4 Ac 0.384 0.884 0.232
5 Ac 0.250 0.250 0.500
6 Ac 0.884 0.384 0.232
7 Sm 0.500 0.500 0.000
8 Cd 0.000 0.000 0.000

=====

A relaxed structure of Ac2Sm2Cd15, computed with PBE-GGA.

- E: -34.781 eV for the cell shown
- Crystal system: trigonal
- Space group: R-3m

abc: 7.964 7.964 7.964
angles: 80.73 80.73 80.73
Fractional positions:
1 Ac 0.337 0.337 0.337
2 Ac 0.663 0.663 0.663
3 Sm 0.092 0.092 0.092
4 Sm 0.908 0.908 0.908
5 Cd 0.500 0.000 0.000
6 Cd 0.000 0.000 0.500
7 Cd 0.000 0.500 0.000
8 Cd 0.000 0.705 0.295
9 Cd 0.705 0.295 0.000
10 Cd 0.295 0.000 0.705
11 Cd 0.295 0.705 0.000
12 Cd 0.705 0.000 0.295
13 Cd 0.000 0.295 0.705
14 Cd 0.153 0.637 0.637
15 Cd 0.637 0.637 0.153
16 Cd 0.637 0.153 0.637
17 Cd 0.847 0.363 0.363
18 Cd 0.363 0.363 0.847
19 Cd 0.363 0.847 0.363

=====

A relaxed structure of AcSmCd6, computed with PBE-GGA.

- E: -16.485 eV for the cell shown
- Distance to the lowest polymorph of the same formula: 0 meV per atom
- Crystal system: orthorhombic
- Space group: Amm2

abc: 4.991 6.849 6.849
angles: 114.83 90.00 90.00
Fractional positions:
1 Ac 0.500 0.391 0.609
2 Sm 0.000 0.106 0.894
3 Cd 0.000 0.042 0.368
4 Cd 0.000 0.632 0.958
5 Cd 0.000 0.589 0.411
6 Cd 0.500 0.442 0.128
7 Cd 0.500 0.872 0.558
8 Cd 0.500 0.925 0.075

=====

A relaxed structure of AcSm3Cd, computed with PBE-GGA.

- E: -77.188 eV for the cell shown
- Crystal system: monoclinic
- Space group: C2/c

abc: 7.447 10.232 10.232
angles: 65.81 80.25 80.25
Fractional positions:
1 Ac 0.250 0.971 0.029
2 Ac 0.750 0.029 0.971
3 Ac 0.250 0.346 0.654
4 Ac 0.750 0.654 0.346
5 Sm 0.599 0.661 0.990
6 Sm 0.901 0.010 0.339
7 Sm 0.401 0.339 0.010
8 Sm 0.099 0.990 0.661
9 Sm 0.921 0.338 0.010
10 Sm 0.579 0.990 0.662
11 Sm 0.079 0.662 0.990
12 Sm 0.421 0.010 0.338
13 Sm 0.406 0.684 0.683
14 Sm 0.094 0.317 0.316
15 Sm 0.594 0.316 0.317
16 Sm 0.906 0.683 0.684
17 Cd 0.700 0.418 0.743
18 Cd 0.800 0.257 0.582
19 Cd 0.300 0.582 0.257
20 Cd 0.200 0.743 0.418

=====

Number 1: DFT formation energy -69 kJ/mol of formula units. Number 2: DFT formation energy -207 kJ/mol of formula units. Number 3: DFT formation energy -4 kJ/mol of formula units. Number 4: DFT formation energy -328 kJ/mol of formula units. Number 5: DFT formation energy -209 kJ/mol of formula units. Number 6: DFT formation energy -11 kJ/mol of formula units.